A PBEsol-optimized structure of AlCd3Ru, computed with meta-GGA SCAN.

density = 6.71 g cm⁻³
space group = Pm-3m (221)
M_tot = 2.3 μB/cell
calculated formation energy = 5.7 eV/f.u.
distance to the lowest polymorph of the same formula = 0.310 eV/atom

Unit cell a=4.864 b=4.864 c=4.864 alpha=90.00 beta=90.00 gamma=90.00
Each line ends with the local moment (μB).
Element x y z (fractional)
Ru 0.500 0.500 0.500  2.29
Cd 0.000 0.500 0.000  -0.01
Al 0.000 0.000 0.000  0.03
Cd 0.000 0.000 0.500  -0.01
Cd 0.500 0.000 0.000  -0.01

A PBEsol-optimized structure of CaAl2Si2, computed with meta-GGA SCAN.

density = 2.42 g cm⁻³
space group = P-3m1 (164)
M_tot = 0.0 μB/cell
raw formation energy = -31.9 kJ/mol of atoms

Unit cell a=4.132 b=4.132 c=6.974 alpha=90.00 beta=90.00 gamma=120.00
Element x y z (fractional)
Si 0.333 0.667 0.261
Al 0.333 0.667 0.631
Si 0.667 0.333 0.739
Al 0.667 0.333 0.369
Ca 0.000 0.000 0.000

A PBEsol-optimized structure of Ag2AsRu, computed with meta-GGA SCAN.

density = 9.95 g cm⁻³
space group = P4/mmm (123)
M_tot = 1.7 μB/cell
calculated formation energy = 1.8 eV/f.u.

Unit cell a=2.728 b=2.728 c=8.783 alpha=90.00 beta=90.00 gamma=90.00
Each line ends with the local moment (μB).
Element x y z (fractional)
Ag 0.000 0.000 0.737  0.00
Ru 0.500 0.500 0.500  1.73
As 0.500 0.500 0.000  -0.01
Ag 0.000 0.000 0.263  0.00

A PBEsol-optimized structure of TaNbTl2Rh, computed with meta-GGA SCAN.

density = 11.28 g cm⁻³
space group = P4/mmm (123)
M_tot = 0.0 μB/cell
calculated formation energy = 5.9 eV/f.u.

Unit cell a=4.766 b=4.926 c=4.926 alpha=90.00 beta=90.00 gamma=90.00
Element x y z (fractional)
Nb 0.500 0.500 0.500
Ta 0.500 0.000 0.000
Rh 0.000 0.000 0.000
Tl 0.000 0.000 0.500
Tl 0.000 0.500 0.000

A PBEsol-optimized structure of GdSnAu, computed with meta-GGA SCAN.

density = 11.42 g cm⁻³
space group = P6_3mc (186)
M_tot = 14.1 μB/cell
calculated formation energy = -3.0 eV/f.u.

Unit cell a=4.657 b=4.657 c=7.323 alpha=90.00 beta=90.00 gamma=120.00
Each line ends with the local moment (μB).
Element x y z (fractional)
Sn 0.667 0.333 0.800  -0.08
Au 0.333 0.667 0.705  -0.05
Gd 0.000 0.000 0.024  7.08
Sn 0.333 0.667 0.300  -0.08
Gd 0.000 0.000 0.524  7.08
Au 0.667 0.333 0.205  -0.05

A PBEsol-optimized structure of TlNiSeN2, computed with meta-GGA SCAN.

density = 8.31 g cm⁻³
space group = P4/mmm (123)
M_tot = 3.5 μB/cell
raw formation energy = 96.7 kJ/mol of atoms

Unit cell a=3.842 b=3.842 c=5.012 alpha=90.00 beta=90.00 gamma=90.00
Each line ends with the local moment (μB).
Element x y z (fractional)
N 0.500 0.000 0.000  1.07
Ni 0.000 0.000 0.000  0.49
Tl 0.500 0.500 0.500  -0.01
Se 0.000 0.000 0.500  0.12
N 0.000 0.500 0.000  1.07

A PBEsol-optimized structure of KSr2Be, computed with meta-GGA SCAN.

density = 2.24 g cm⁻³
space group = P4mm (99)
M_tot = 0.5 μB/cell
calculated formation energy = 1.8 eV/f.u.

Unit cell a=3.978 b=3.978 c=10.441 alpha=90.00 beta=90.00 gamma=90.00
Element x y z (fractional)
K 0.500 0.500 0.680
Be 0.000 0.000 0.463
Sr 0.000 0.000 0.031
Sr 0.500 0.500 0.326

A PBEsol-optimized structure of KCaNi, computed with meta-GGA SCAN.

density = 2.69 g cm⁻³
space group = F-43m (216)
M_tot = 0.0 μB/cell
calculated formation energy = 3.3 eV/f.u.

Unit cell a=4.935 b=4.935 c=4.935 alpha=60.00 beta=60.00 gamma=60.00
Element x y z (fractional)
K 0.250 0.250 0.250
Ni 0.000 0.000 0.000
Ca 0.500 0.500 0.500

A PBEsol-optimized structure of Zn5Ag, computed with meta-GGA SCAN.

density = 8.37 g cm⁻³
space group = Cmmm (65)
M_tot = 0.0 μB/cell
calculated formation energy = 0.1 eV/f.u.

Unit cell a=3.902 b=3.809 c=6.107 alpha=71.83 beta=90.00 gamma=90.00
Element x y z (fractional)
Zn 0.000 0.330 0.340
Zn 0.500 0.829 0.341
Zn 0.500 0.500 0.000
Ag 0.000 0.000 0.000
Zn 0.000 0.670 0.660
Zn 0.500 0.171 0.659

A PBEsol-optimized structure of KNiRu3, computed with meta-GGA SCAN.

density = 7.87 g cm⁻³
space group = Pm-3m (221)
M_tot = 5.7 μB/cell
calculated formation energy = 16.2 eV/f.u.

Unit cell a=4.390 b=4.390 c=4.390 alpha=90.00 beta=90.00 gamma=90.00
Each line ends with the local moment (μB).
Element x y z (fractional)
K 0.000 0.000 0.000  0.01
Ru 0.500 0.000 0.000  1.55
Ni 0.500 0.500 0.500  1.29
Ru 0.000 0.000 0.500  1.55
Ru 0.000 0.500 0.000  1.55

A PBEsol-optimized structure of CoMo12Se16, computed with meta-GGA SCAN.

density = 7.02 g cm⁻³
space group = P1 (1)
M_tot = 1.5 μB/cell
raw formation energy = -50.1 kJ/mol of atoms

Unit cell a=9.155 b=9.257 c=9.396 alpha=61.69 beta=61.92 gamma=61.55
Each line ends with the local moment (μB).
Element x y z (fractional)
Mo 0.632 0.954 0.821  -0.01
Se 0.755 0.121 0.505  0.00
Se 0.001 0.256 0.615  -0.01
Mo 0.824 0.630 0.949  -0.05
Mo 0.956 0.819 0.630  0.04
Mo 0.544 0.682 0.868  0.02
Se 0.746 0.379 0.994  0.00
Mo 0.376 0.045 0.169  -0.03
Se 0.106 0.090 0.123  0.01
Mo 0.128 0.459 0.324  0.06
Mo 0.868 0.547 0.679  -0.07
Se 0.128 0.484 0.756  -0.01
Mo 0.448 0.325 0.133  0.00
Se 0.515 0.245 0.879  -0.01
Se 0.371 0.001 0.740  0.01
Se 0.873 0.507 0.246  -0.01
Mo 0.323 0.132 0.446  -0.04
Se 0.240 0.629 0.010  -0.01
Mo 0.172 0.377 0.052  0.09
Se 0.253 0.879 0.486  -0.01
Mo 0.678 0.872 0.545  0.04
Co 0.298 0.197 0.866  1.45
Se 0.900 0.889 0.883  -0.01
Se 0.600 0.612 0.614  -0.01
Mo 0.047 0.188 0.364  -0.02
Se 0.998 0.748 0.384  0.00
Se 0.623 0.000 0.255  -0.01
Se 0.393 0.394 0.389  0.00
Se 0.505 0.748 0.118  -0.01

A PBEsol-optimized structure of TeAs3O, computed with meta-GGA SCAN.

density = 6.85 g cm⁻³
space group = Pm-3m (221)
M_tot = 0.0 μB/cell
raw formation energy = 39.7 kJ/mol of atoms

Unit cell a=4.471 b=4.471 c=4.471 alpha=90.00 beta=90.00 gamma=90.00
Element x y z (fractional)
As 0.000 0.500 0.000
O 0.000 0.000 0.000
As 0.000 0.000 0.500
As 0.500 0.000 0.000
Te 0.500 0.500 0.500